1.
Ce8Hg2Ru3: relaxed, PBE-GGA.

abc: 14.0715 6.6557 7.9864
angles: 90.00 110.84 90.00
Space group C2/m (No. 12)
One atom of each set of equivalent atoms:
1 Ce 0.1046 0.2197 0.3833 (multiplicity 8)
2 Ce 0.1216 0.0000 0.0033 (multiplicity 4)
3 Ce 0.1441 0.5000 0.8342 (multiplicity 4)
4 Hg 0.2487 0.0000 0.7453 (multiplicity 4)
5 Ru 0.0000 0.2960 0.0000 (multiplicity 4)
6 Ru 0.0000 0.5000 0.5000 (multiplicity 2)

Computed properties:
- density of states at the Fermi level (states/eV/cell) = 67.3
- total DFT energy (no corrections) (eV/f.u.) = -77.51

2.
Ce4Hg3Ru2: relaxed, PBE-GGA.

abc: 14.8711 5.1005 5.9734
angles: 90.00 101.58 90.00
Space group C2/m (No. 12)
One atom of each set of equivalent atoms:
1 Ce 0.0599 0.0000 0.3227 (multiplicity 4)
2 Ce 0.2241 0.5000 0.1890 (multiplicity 4)
3 Hg 0.0000 0.5000 0.0000 (multiplicity 2)
4 Hg 0.1200 0.5000 0.6391 (multiplicity 4)
5 Ru 0.1302 0.0000 0.9093 (multiplicity 4)

Computed properties:
- density of states at the Fermi level (states/eV/cell) = 34.0
- energy above the most stable polymorph in this dataset (meV/atom) = 0

3.
CeThHgRu: relaxed, PBE-GGA.

abc: 3.7237 4.8606 5.4312
angles: 90.00 90.00 90.00
Space group Pmm2 (No. 25)
One atom of each set of equivalent atoms:
1 Ce 0.0000 0.0000 0.0000 (multiplicity 1)
2 Th 0.0000 0.5000 0.5361 (multiplicity 1)
3 Hg 0.5000 0.5000 0.0563 (multiplicity 1)
4 Ru 0.5000 0.0000 0.4066 (multiplicity 1)

Computed properties:
- density of states at the Fermi level (states/eV/cell) = 5.1
- energy above the most stable polymorph in this dataset (meV/atom) = 0

4.
CeThHgRu: relaxed, PBE-GGA.

abc: 7.3196 7.3196 7.3196
angles: 90.00 90.00 90.00
Space group F-43m (No. 216)
One atom of each set of equivalent atoms:
1 Ce 0.0000 0.0000 0.0000 (multiplicity 4)
2 Th 0.0000 0.0000 0.5000 (multiplicity 4)
3 Hg 0.2500 0.2500 0.2500 (multiplicity 4)
4 Ru 0.2500 0.2500 0.7500 (multiplicity 4)

Computed properties:
- density of states at the Fermi level (states/eV/cell) = 24.4
- energy above the most stable polymorph in this dataset (meV/atom) = 27

5.
Ce2TlHgRu: relaxed, PBE-GGA.

abc: 8.3139 4.0201 8.4419
angles: 90.00 111.65 90.00
Space group P2_1/m (No. 11)
One atom of each set of equivalent atoms:
1 Ce 0.0168 0.2500 0.2345 (multiplicity 2)
2 Ce 0.3370 0.7500 0.6154 (multiplicity 2)
3 Tl 0.3406 0.2500 0.9614 (multiplicity 2)
4 Hg 0.3143 0.7500 0.2252 (multiplicity 2)
5 Ru 0.1101 0.2500 0.6242 (multiplicity 2)

Computed properties:
- density of states at the Fermi level (states/eV/cell) = 22.2
- total DFT energy (no corrections) (eV/f.u.) = -25.31

6.
CeYHgRu: relaxed, PBE-GGA.

abc: 7.2041 7.2041 7.2041
angles: 90.00 90.00 90.00
Space group F-43m (No. 216)
One atom of each set of equivalent atoms:
1 Ce 0.0000 0.0000 0.0000 (multiplicity 4)
2 Y 0.0000 0.0000 0.5000 (multiplicity 4)
3 Hg 0.2500 0.2500 0.7500 (multiplicity 4)
4 Ru 0.2500 0.2500 0.2500 (multiplicity 4)

Computed properties:
- density of states at the Fermi level (states/eV/cell) = 23.7
- energy above the most stable polymorph in this dataset (meV/atom) = 132

7.
CeYHgRu: relaxed, PBE-GGA.

abc: 3.4079 3.4079 8.0429
angles: 90.00 90.00 90.00
Space group P4mm (No. 99)
One atom of each set of equivalent atoms:
1 Ce 0.0000 0.0000 0.0000 (multiplicity 1)
2 Y 0.0000 0.0000 0.5692 (multiplicity 1)
3 Hg 0.5000 0.5000 0.2967 (multiplicity 1)
4 Ru 0.5000 0.5000 0.7876 (multiplicity 1)

Computed properties:
- density of states at the Fermi level (states/eV/cell) = 5.6
- energy above the most stable polymorph in this dataset (meV/atom) = 0

8.
Ce2HgS4: relaxed, PBE-GGA.

abc: 7.3679 10.6800 4.4039
angles: 90.00 90.00 90.00
Space group Pbam (No. 55)
One atom of each set of equivalent atoms:
1 Ce 0.1128 0.1856 0.0000 (multiplicity 4)
2 Hg 0.0000 0.5000 0.5000 (multiplicity 2)
3 S 0.1143 0.7129 0.5000 (multiplicity 4)
4 S 0.2203 0.9375 0.0000 (multiplicity 4)

Computed properties:
- density of states at the Fermi level (states/eV/cell) = 25.0
- total DFT energy (no corrections) (eV/f.u.) = -38.28

9.
CeHgS2: relaxed, PBE-GGA.

abc: 4.1540 4.1540 25.7260
angles: 90.00 90.00 120.00
Space group R3m (No. 160, hexagonal axes)
One atom of each set of equivalent atoms:
1 Ce 0.0000 0.0000 0.0000 (multiplicity 3)
2 Hg 0.0000 0.0000 0.8391 (multiplicity 3)
3 S 0.0000 0.0000 0.3851 (multiplicity 3)
4 S 0.0000 0.0000 0.6160 (multiplicity 3)

Computed properties:
- energy above the most stable polymorph in this dataset (meV/atom) = 0

10.
CeHgS2: relaxed, PBE-GGA.

abc: 4.1410 4.1419 9.2993
angles: 102.31 90.30 119.99
Space group P1 (No. 1)
One atom of each set of equivalent atoms:
1 Ce 0.0000 0.0000 0.0000 (multiplicity 1)
2 Hg 0.4945 0.0013 0.5000 (multiplicity 1)
3 S 0.2840 0.5715 0.8527 (multiplicity 1)
4 S 0.7159 0.4285 0.1473 (multiplicity 1)

Computed properties:
- energy above the most stable polymorph in this dataset (meV/atom) = 5